(1)
Ga2Sb2Te | Alexandria | PBE | relaxed; energy relative to the elements, uncorrected = 0.44 eV/f.u.; raw total energy = -3.400 eV per atom; excess energy over the best structure of this formula in the dataset = 0 meV/atom
1.0
4.0762 0.0000 0.0000
0.0000 4.0762 0.0000
2.0381 2.0381 7.7498
Ga Sb Te
2 2 1
Direct
0.2500 0.7500 0.5000 Ga
0.7500 0.2500 0.5000 Ga
0.3818 0.3818 0.2364 Sb
0.6182 0.6182 0.7636 Sb
0.0000 0.0000 0.0000 Te

---

(2)
Ga2Sb2Te | Alexandria | PBE | relaxed; energy relative to the elements, uncorrected = 0.70 eV/f.u.; raw total energy = -3.347 eV per atom; excess energy over the best structure of this formula in the dataset = 53 meV/atom
1.0
-2.0101 -3.6553 -2.6047
4.3156 -2.3584 -0.0207
-0.1926 -5.5087 3.2364
Ga Sb Te
2 2 1
Direct
0.6141 0.6141 0.7719 Ga
0.3859 0.3859 0.2281 Ga
0.2500 0.7500 0.5000 Sb
0.7500 0.2500 0.5000 Sb
0.0000 0.0000 0.0000 Te

---

(3)
GaSbTe3 | Alexandria | PBE | relaxed; energy relative to the elements, uncorrected = -0.35 eV/f.u.; raw total energy = -3.384 eV per atom; excess energy over the best structure of this formula in the dataset = 122 meV/atom
1.0
-2.9805 -6.4256 0.5096
4.5240 -2.6611 -7.0951
8.6275 -3.4626 6.7999
Te Sb Ga
12 4 4
Direct
0.6502 0.0022 0.2500 Te
0.3498 0.9978 0.7500 Te
0.1502 0.4978 0.7500 Te
0.3788 0.3291 0.4576 Te
0.6212 0.6709 0.5424 Te
0.8788 0.1709 0.5424 Te
0.6212 0.6709 0.9576 Te
0.1212 0.8291 0.0424 Te
0.8498 0.5022 0.2500 Te
0.8788 0.1709 0.9576 Te
0.1212 0.8291 0.4576 Te
0.3788 0.3291 0.0424 Te
0.5000 0.0000 0.5000 Sb
0.5000 0.0000 0.0000 Sb
0.0000 0.5000 0.0000 Sb
0.0000 0.5000 0.5000 Sb
0.4627 0.6891 0.7500 Ga
0.9627 0.8109 0.2500 Ga
0.0373 0.1891 0.7500 Ga
0.5373 0.3109 0.2500 Ga

---

(4)
Ga4Sb5Te | Alexandria | PBE | relaxed; energy relative to the elements, uncorrected = -0.39 eV/f.u.; raw total energy = -3.625 eV per atom
1.0
5.7416 0.0000 0.0000
0.0000 8.2301 0.0000
0.0000 0.0000 12.4463
Sb Ga Te
10 8 2
Direct
0.2945 0.7802 0.8122 Sb
0.2945 0.7802 0.1878 Sb
0.2945 0.2198 0.1878 Sb
0.2945 0.2198 0.8122 Sb
0.2146 0.0000 0.5000 Sb
0.7854 0.5000 0.0000 Sb
0.7055 0.7198 0.3122 Sb
0.7055 0.7198 0.6878 Sb
0.7055 0.2802 0.6878 Sb
0.7055 0.2802 0.3122 Sb
0.5328 0.2276 0.0000 Ga
0.5328 0.7724 0.0000 Ga
0.9805 0.0000 0.6918 Ga
0.4672 0.2724 0.5000 Ga
0.0195 0.5000 0.1918 Ga
0.9805 0.0000 0.3082 Ga
0.0195 0.5000 0.8082 Ga
0.4672 0.7276 0.5000 Ga
0.1429 0.5000 0.5000 Te
0.8571 0.0000 0.0000 Te

---

(5)
GaSbTe3 | Alexandria | PBE | relaxed; energy relative to the elements, uncorrected = -0.96 eV/f.u.; raw total energy = -3.506 eV per atom; excess energy over the best structure of this formula in the dataset = 0 meV/atom
1.0
-2.8212 2.1382 2.4306
-5.1817 -3.6420 -2.8105
2.7670 -7.2577 9.5965
Te Sb Ga
6 2 2
Direct
0.2500 0.8937 0.3150 Te
0.7500 0.3737 0.3582 Te
0.2500 0.2839 0.0621 Te
0.7500 0.1063 0.6850 Te
0.2500 0.6263 0.6418 Te
0.7500 0.7161 0.9379 Te
0.2500 0.9477 0.8274 Sb
0.7500 0.0523 0.1726 Sb
0.2500 0.5138 0.2572 Ga
0.7500 0.4862 0.7428 Ga

---

(6)
GaSb2Te | Alexandria | PBE | relaxed; energy relative to the elements, uncorrected = 0.80 eV/f.u.; raw total energy = -3.402 eV per atom; excess energy over the best structure of this formula in the dataset = 0 meV/atom
1.0
-4.8490 0.0592 5.5625
4.1211 -4.9183 3.6449
2.0443 1.1162 6.6653
Ga Sb Te
2 4 2
Direct
0.2500 0.7500 0.5000 Ga
0.5000 0.5000 0.0000 Ga
0.5884 0.1250 0.2500 Sb
0.8750 0.8384 0.7500 Sb
0.1616 0.6250 0.2500 Sb
0.3750 0.4116 0.7500 Sb
0.7500 0.2500 0.5000 Te
0.0000 0.0000 0.0000 Te

---

(7)
GaSb3Te | Alexandria | PBE | relaxed; energy relative to the elements, uncorrected = 2.79 eV/f.u.; raw total energy = -3.150 eV per atom; excess energy over the best structure of this formula in the dataset = 0 meV/atom
1.0
5.3272 0.0000 0.0000
0.0000 5.3272 0.0000
0.0000 0.0000 5.3272
Sb Ga Te
3 1 1
Direct
0.5000 0.0000 0.0000 Sb
0.0000 0.0000 0.5000 Sb
0.0000 0.5000 0.0000 Sb
0.0000 0.0000 0.0000 Ga
0.5000 0.5000 0.5000 Te

---

(8)
TlGaSb2Te | Alexandria | PBE | relaxed; energy relative to the elements, uncorrected = 1.55 eV/f.u.; raw total energy = -3.045 eV per atom; excess energy over the best structure of this formula in the dataset = 0 meV/atom
1.0
5.3720 0.0000 0.0000
0.0000 5.3720 0.0000
0.0000 0.0000 5.6042
Ga Te Tl Sb
1 1 1 2
Direct
0.0000 0.0000 0.0000 Ga
0.0000 0.0000 0.5000 Te
0.5000 0.5000 0.5000 Tl
0.0000 0.5000 0.0000 Sb
0.5000 0.0000 0.0000 Sb

---

(9)
TlGaSbTe2 | Alexandria | PBE | relaxed; energy relative to the elements, uncorrected = 0.99 eV/f.u.; raw total energy = -2.962 eV per atom; excess energy over the best structure of this formula in the dataset = 0 meV/atom
1.0
-0.0598 3.6031 -4.2411
-3.3134 -3.4307 -2.8679
-4.2604 2.3766 2.0791
Tl Te Sb Ga
1 2 1 1
Direct
0.5000 0.5000 0.5000 Tl
0.5000 0.0000 0.0000 Te
0.0000 0.5000 0.0000 Te
0.0000 0.0000 0.5000 Sb
0.0000 0.0000 0.0000 Ga

---

(10)
TlGaSbTe2 | Alexandria | PBE | relaxed; energy relative to the elements, uncorrected = 3.08 eV/f.u.; raw total energy = -2.544 eV per atom; excess energy over the best structure of this formula in the dataset = 418 meV/atom
1.0
5.8713 0.0000 0.0000
0.0000 5.1372 0.0000
0.0000 0.0000 5.8713
Te Ga Tl Sb
2 1 1 1
Direct
0.5000 0.0000 0.0000 Te
0.0000 0.0000 0.5000 Te
0.0000 0.5000 0.0000 Ga
0.0000 0.0000 0.0000 Tl
0.5000 0.5000 0.5000 Sb

---

(11)
Tl2GaSbTe4 | Alexandria | PBE | relaxed; energy relative to the elements, uncorrected = -1.86 eV/f.u.; raw total energy = -3.288 eV per atom
1.0
-3.7172 5.3234 3.4151
-6.3910 -1.2281 2.8376
0.7722 1.1244 6.9674
Ga Sb Tl Te
1 1 2 4
Direct
0.5000 0.0000 0.0000 Ga
0.0000 0.0000 0.0000 Sb
0.5000 0.5000 0.5000 Tl
0.0000 0.5000 0.5000 Tl
0.5419 0.0000 0.3558 Te
0.4581 0.6442 0.0000 Te
0.8978 0.0000 0.6442 Te
0.1022 0.3558 0.0000 Te

---

(12)
TlGaSb2Te | Alexandria | PBE | relaxed; energy relative to the elements, uncorrected = 3.81 eV/f.u.; raw total energy = -2.594 eV per atom; excess energy over the best structure of this formula in the dataset = 451 meV/atom
1.0
5.7053 0.0000 0.0000
0.0000 5.7053 0.0000
0.0000 0.0000 5.9175
Sb Ga Tl Te
2 1 1 1
Direct
0.5000 0.0000 0.0000 Sb
0.0000 0.5000 0.0000 Sb
0.5000 0.5000 0.5000 Ga
0.0000 0.0000 0.0000 Tl
0.0000 0.0000 0.5000 Te

---

(13)
Tl2GaSbTe5 | Alexandria | PBE | relaxed; energy relative to the elements, uncorrected = -1.65 eV/f.u.; raw total energy = -3.249 eV per atom
1.0
4.0556 0.0000 0.0000
-2.0278 10.3427 0.0000
0.0000 0.0000 14.4242
Te Ga Sb Tl
10 2 2 4
Direct
0.4899 0.9798 0.7749 Te
0.5101 0.0202 0.2749 Te
0.3437 0.6873 0.9924 Te
0.6802 0.3604 0.8758 Te
0.7196 0.4392 0.1835 Te
0.6563 0.3127 0.4924 Te
0.0405 0.0811 0.0461 Te
0.2804 0.5608 0.6835 Te
0.9595 0.9189 0.5461 Te
0.3198 0.6396 0.3758 Te
0.5554 0.1109 0.9302 Ga
0.4446 0.8891 0.4302 Ga
0.7946 0.5893 0.5313 Sb
0.2054 0.4107 0.0313 Sb
0.1288 0.2576 0.3157 Tl
0.8912 0.7824 0.1740 Tl
0.8712 0.7424 0.8157 Tl
0.1088 0.2176 0.6740 Tl